[1]
PrMg2Ga | PBE | relaxed

a b c (Å): 4.665 6.007 7.475
angles (deg): 90.00 90.00 112.81
Positions (direct):
Pr1 0.922 0.845 0.250
Pr2 0.078 0.155 0.750
Ga1 0.792 0.584 0.750
Ga2 0.208 0.416 0.250
Mg1 0.637 0.274 0.446
Mg2 0.363 0.726 0.946
Mg3 0.363 0.726 0.554
Mg4 0.637 0.274 0.054

Output
* polymorph energy (0 for the lowest one): 0 meV/atom
* symmetry: No. 63
* DFT formation energy: -317 meV per atom

---

[2]
PrMgGaPt2 | PBE | relaxed

a b c (Å): 4.084 4.084 6.758
angles (deg): 107.59 107.59 90.00
Positions (direct):
Pt1 0.388 0.388 0.776
Pt2 0.612 0.612 0.224
Pr1 0.000 0.000 0.000
Ga1 0.250 0.750 0.500
Mg1 0.750 0.250 0.500

Output
* symmetry: No. 119
* DFT formation energy: -923 meV per atom

---

[3]
Pr2MgGa2Pt5 | PBE | relaxed

a b c (Å): 3.796 10.036 10.036
angles (deg): 90.00 90.00 90.00
Positions (direct):
Ga1 0.000 0.122 0.622
Ga2 0.000 0.878 0.378
Ga3 0.000 0.622 0.878
Ga4 0.000 0.378 0.122
Pt1 0.500 0.000 0.500
Pt2 0.500 0.061 0.791
Pt3 0.500 0.291 0.561
Pt4 0.500 0.561 0.709
Pt5 0.500 0.939 0.209
Pt6 0.500 0.709 0.439
Pt7 0.500 0.791 0.939
Pt8 0.500 0.439 0.291
Pt9 0.500 0.500 0.000
Pt10 0.500 0.209 0.061
Pr1 0.000 0.823 0.677
Pr2 0.000 0.323 0.823
Pr3 0.000 0.677 0.177
Pr4 0.000 0.177 0.323
Mg1 0.000 0.000 0.000
Mg2 0.000 0.500 0.500

Output
* symmetry: No. 127
* DFT formation energy: -831 meV per atom

---

[4]
Pr2MgGa4Pt3 | PBE | relaxed

a b c (Å): 4.281 4.281 10.968
angles (deg): 90.00 90.00 90.00
Positions (direct):
Ga1 0.500 0.000 0.644
Ga2 0.500 0.500 0.000
Ga3 0.000 0.500 0.356
Ga4 0.000 0.000 0.000
Pt1 0.500 0.000 0.871
Pt2 0.000 0.000 0.500
Pt3 0.000 0.500 0.129
Pr1 0.000 0.500 0.764
Pr2 0.500 0.000 0.236
Mg1 0.500 0.500 0.500

Output
* symmetry: No. 115
* DFT formation energy: -869 meV per atom

---

[5]
PrMgGa4Pt2 | PBE | relaxed

a b c (Å): 4.374 4.374 9.317
angles (deg): 76.42 76.42 60.00
Positions (direct):
Ga1 0.123 0.123 0.631
Ga2 0.604 0.604 0.189
Ga3 0.396 0.396 0.811
Ga4 0.877 0.877 0.369
Pr1 0.000 0.000 0.000
Pt1 0.229 0.229 0.312
Pt2 0.771 0.771 0.688
Mg1 0.500 0.500 0.500

Output
* symmetry: No. 166
* DFT formation energy: -653 meV per atom

---

[6]
PrMgGa2Pt2 | PBE | relaxed

a b c (Å): 4.429 4.429 6.898
angles (deg): 90.00 90.00 120.00
Positions (direct):
Ga1 0.333 0.667 0.300
Ga2 0.667 0.333 0.700
Mg1 0.000 0.000 0.500
Pr1 0.000 0.000 0.000
Pt1 0.333 0.667 0.705
Pt2 0.667 0.333 0.295

Output
* symmetry: No. 164
* DFT formation energy: -894 meV per atom

---

[7]
Pr2MgGaPt6 | PBE | relaxed

a b c (Å): 8.495 5.678 8.495
angles (deg): 70.57 39.02 90.07
Positions (direct):
Pt1 0.250 0.257 0.992
Pt2 0.750 0.743 0.008
Pt3 0.258 0.250 0.501
Pt4 0.751 0.250 0.008
Pt5 0.742 0.750 0.499
Pt6 0.249 0.750 0.992
Pr1 0.793 0.206 0.587
Pr2 0.207 0.794 0.413
Ga1 0.000 0.000 0.000
Mg1 0.500 0.500 0.000

Output
* symmetry: No. 12
* DFT formation energy: -736 meV per atom

---

[8]
Pr2MgGa3Pt4 | PBE | relaxed

a b c (Å): 4.172 4.172 11.356
angles (deg): 90.00 90.00 90.00
Positions (direct):
Ga1 0.000 0.500 0.130
Ga2 0.000 0.000 0.500
Ga3 0.500 0.000 0.870
Pt1 0.000 0.000 0.000
Pt2 0.000 0.500 0.354
Pt3 0.500 0.000 0.646
Pt4 0.500 0.500 0.000
Pr1 0.500 0.000 0.243
Pr2 0.000 0.500 0.757
Mg1 0.500 0.500 0.500

Output
* symmetry: No. 115
* DFT formation energy: -943 meV per atom

---

[9]
PrMgGa2Pt4 | PBE | relaxed

a b c (Å): 4.344 4.344 9.218
angles (deg): 76.37 76.37 60.00
Positions (direct):
Pt1 0.867 0.867 0.398
Pt2 0.403 0.403 0.792
Pt3 0.597 0.597 0.208
Pt4 0.133 0.133 0.602
Mg1 0.500 0.500 0.500
Pr1 0.000 0.000 0.000
Ga1 0.760 0.760 0.720
Ga2 0.240 0.240 0.280

Output
* symmetry: No. 166
* DFT formation energy: -842 meV per atom

---

[10]
PrMgGa2Pt | PBE | relaxed

a b c (Å): 4.226 4.331 6.444
angles (deg): 109.64 109.14 90.00
Positions (direct):
Ga1 0.698 0.198 0.395
Ga2 0.048 0.048 0.096
Pt1 0.829 0.829 0.658
Mg1 0.194 0.694 0.388
Pr1 0.444 0.444 0.888

Output
* symmetry: No. 44
* DFT formation energy: -737 meV per atom

---

[11]
PrMg2GaRh2 | PBE | relaxed

a b c (Å): 4.656 4.656 6.046
angles (deg): 90.00 90.00 90.00
Positions (direct):
Mg1 0.500 0.500 0.245
Mg2 0.500 0.500 0.755
Pr1 0.000 0.000 0.500
Ga1 0.000 0.000 0.000
Rh1 0.500 0.000 0.000
Rh2 0.000 0.500 0.000

Output
* symmetry: No. 123
* DFT formation energy: -320 meV per atom

---

[12]
Pr2MgGa4Rh3 | PBE | relaxed

a b c (Å): 4.143 4.143 11.386
angles (deg): 90.00 90.00 90.00
Positions (direct):
Ga1 0.500 0.500 0.000
Ga2 0.500 0.000 0.645
Ga3 0.000 0.500 0.355
Ga4 0.000 0.000 0.000
Rh1 0.000 0.000 0.500
Rh2 0.500 0.000 0.869
Rh3 0.000 0.500 0.131
Pr1 0.500 0.000 0.234
Pr2 0.000 0.500 0.766
Mg1 0.500 0.500 0.500

Output
* symmetry: No. 115
* DFT formation energy: -672 meV per atom

---

[13]
Pr2MgGa3Rh4 | PBE | relaxed

a b c (Å): 4.273 4.273 10.509
angles (deg): 90.00 90.00 90.00
Positions (direct):
Rh1 0.500 0.000 0.640
Rh2 0.500 0.500 0.000
Rh3 0.000 0.000 0.000
Rh4 0.000 0.500 0.360
Pr1 0.500 0.000 0.237
Pr2 0.000 0.500 0.763
Ga1 0.000 0.500 0.122
Ga2 0.500 0.000 0.878
Ga3 0.000 0.000 0.500
Mg1 0.500 0.500 0.500

Output
* symmetry: No. 115
* DFT formation energy: -746 meV per atom

---

[14]
PrMg2Ga2Rh | PBE | relaxed

a b c (Å): 5.090 5.090 6.587
angles (deg): 112.73 112.73 90.00
Positions (direct):
Pr1 0.500 0.500 0.000
Mg1 0.250 0.750 0.500
Mg2 0.750 0.250 0.500
Ga1 0.213 0.213 0.427
Ga2 0.787 0.787 0.573
Rh1 0.000 0.000 0.000

Output
* symmetry: No. 139
* DFT formation energy: 28 meV per atom

---

[15]
Pr2MgGa2Rh5 | PBE | relaxed

a b c (Å): 3.570 10.075 10.075
angles (deg): 90.00 90.00 90.00
Positions (direct):
Rh1 0.500 0.291 0.567
Rh2 0.500 0.067 0.791
Rh3 0.500 0.000 0.500
Rh4 0.500 0.709 0.433
Rh5 0.500 0.567 0.709
Rh6 0.500 0.500 0.000
Rh7 0.500 0.933 0.209
Rh8 0.500 0.433 0.291
Rh9 0.500 0.791 0.933
Rh10 0.500 0.209 0.067
Pr1 0.000 0.175 0.325
Pr2 0.000 0.675 0.175
Pr3 0.000 0.325 0.825
Pr4 0.000 0.825 0.675
Mg1 0.000 0.500 0.500
Mg2 0.000 0.000 0.000
Ga1 0.000 0.623 0.877
Ga2 0.000 0.123 0.623
Ga3 0.000 0.377 0.123
Ga4 0.000 0.877 0.377

Output
* symmetry: No. 127
* DFT formation energy: -657 meV per atom

---

[16]
PrMgSc2Ga4 | PBE | relaxed

a b c (Å): 4.665 4.665 9.441
angles (deg): 75.70 75.70 60.00
Positions (direct):
Ga1 0.125 0.125 0.626
Ga2 0.875 0.875 0.374
Ga3 0.393 0.393 0.822
Ga4 0.607 0.607 0.178
Mg1 0.500 0.500 0.500
Sc1 0.768 0.768 0.695
Sc2 0.232 0.232 0.305
Pr1 0.000 0.000 0.000

Output
* symmetry: No. 166
* DFT formation energy: -463 meV per atom

---

[17]
PrMgScGa | PBE | relaxed

a b c (Å): 5.129 5.129 5.129
angles (deg): 60.00 60.00 60.00
Positions (direct):
Sc1 0.500 0.500 0.500
Pr1 0.000 0.000 0.000
Ga1 0.250 0.250 0.250
Mg1 0.750 0.750 0.750

Output
* symmetry: No. 216
* DFT formation energy: -318 meV per atom

---

[18]
Pr2MgGaSe5 | PBE | relaxed

a b c (Å): 4.133 9.144 12.090
angles (deg): 90.00 90.00 103.06
Positions (direct):
Se1 0.687 0.373 0.859
Se2 0.357 0.713 0.998
Se3 0.713 0.426 0.167
Se4 0.498 0.995 0.776
Se5 0.502 0.005 0.276
Se6 0.952 0.904 0.563
Se7 0.643 0.287 0.498
Se8 0.048 0.096 0.063
Se9 0.287 0.574 0.667
Se10 0.313 0.627 0.359
Ga1 0.439 0.879 0.455
Ga2 0.561 0.121 0.955
Mg1 0.208 0.416 0.017
Mg2 0.792 0.584 0.517
Pr1 0.117 0.233 0.680
Pr2 0.883 0.767 0.180
Pr3 0.869 0.737 0.809
Pr4 0.131 0.263 0.309

Output
* symmetry: No. 36
* raw formation energy: -1.37 eV/atom

---

[19]
PrMgGaSn | PBE | relaxed

a b c (Å): 4.438 4.645 4.739
angles (deg): 90.00 90.00 90.00
Positions (direct):
Ga1 0.000 0.000 0.000
Pr1 0.500 0.500 0.000
Mg1 0.500 0.000 0.500
Sn1 0.000 0.500 0.500

Output
* polymorph energy (0 for the lowest one): 0 meV/atom
* symmetry: No. 47
* DFT formation energy: -496 meV per atom

---

[20]
PrMgGaSn | PBE | relaxed

a b c (Å): 5.222 5.222 5.222
angles (deg): 60.00 60.00 60.00
Positions (direct):
Sn1 0.250 0.250 0.250
Pr1 0.000 0.000 0.000
Ga1 0.750 0.750 0.750
Mg1 0.500 0.500 0.500

Output
* polymorph energy (0 for the lowest one): 161 meV/atom
* symmetry: No. 216
* DFT formation energy: -335 meV per atom

---

[21]
SrPrMgGa | PBE | relaxed

a b c (Å): 5.515 5.515 5.515
angles (deg): 60.00 60.00 60.00
Positions (direct):
Pr1 0.000 0.000 0.000
Ga1 0.250 0.250 0.250
Sr1 0.500 0.500 0.500
Mg1 0.750 0.750 0.750

Output
* symmetry: No. 216
* DFT formation energy: -229 meV per atom

---

[22]
Pr2MgGaTe5 | PBE | relaxed

a b c (Å): 4.480 9.751 12.914
angles (deg): 90.00 90.00 103.28
Positions (direct):
Te1 0.690 0.381 0.849
Te2 0.952 0.904 0.573
Te3 0.286 0.572 0.664
Te4 0.498 0.997 0.778
Te5 0.048 0.096 0.073
Te6 0.502 0.003 0.278
Te7 0.714 0.428 0.164
Te8 0.310 0.619 0.349
Te9 0.642 0.285 0.497
Te10 0.358 0.715 0.997
Mg1 0.794 0.587 0.514
Mg2 0.206 0.413 0.014
Pr1 0.114 0.228 0.684
Pr2 0.870 0.740 0.803
Pr3 0.886 0.772 0.184
Pr4 0.130 0.260 0.303
Ga1 0.565 0.131 0.961
Ga2 0.435 0.869 0.461

Output
* symmetry: No. 36
* raw formation energy: -1.00 eV/atom

---

[23]
PrMgZnGa2 | PBE | relaxed

a b c (Å): 4.294 4.294 6.421
angles (deg): 109.53 109.53 90.00
Positions (direct):
Zn1 0.750 0.250 0.500
Ga1 0.390 0.390 0.781
Ga2 0.610 0.610 0.219
Mg1 0.250 0.750 0.500
Pr1 0.000 0.000 0.000

Output
* symmetry: No. 119
* DFT formation energy: -465 meV per atom

---

no.,raw total energy (eV/atom)
1,-3.066
2,-5.220
3,-5.572
4,-5.008
5,-4.474
6,-4.979
7,-5.779
8,-5.383
9,-5.416
10,-4.431
11,-4.603
12,-5.203
13,-5.710
14,-3.535
15,-6.053
16,-4.356
17,-4.251
18,-4.881
19,-3.847
20,-3.686
21,-2.999
22,-4.324
23,-3.205